[1]
An optimized crystal structure of ZrTiAs. Source: Alexandria, functional GGA-PBE.

POSCAR file:
```
ZrTiAs
1.0
3.5107 0.0000 0.0000
1.3744 4.8234 0.0000
0.7449 0.6394 6.6942
Zr Ti As
2 2 2
direct
0.0000 0.0000 0.0000
0.3152 0.3656 0.6586
0.4135 0.4788 0.1091
0.6210 0.8111 0.3675
0.6327 0.7744 0.7520
0.9453 0.2401 0.3602
```

## Properties
* volume: 18.9 Å³ per atom
* magnetization: 0.00 μB/f.u.
* formation energy from the elements: -2.0 eV/f.u.

---

[2]
An optimized crystal structure of Ag2MoBr8. Source: Alexandria, functional GGA-PBE.

POSCAR file:
```
Ag2MoBr8
1.0
4.2030 -3.6626 0.0000
4.2030 3.6626 0.0000
-3.9631 0.0000 14.0884
Ag Mo Br
2 1 8
direct
0.1059 0.1059 0.4363
0.8941 0.8941 0.5637
0.0000 0.0000 0.0000
0.1752 0.1752 0.6767
0.2101 0.7377 0.1139
0.2623 0.7899 0.8861
0.3954 0.3954 0.5510
0.6046 0.6046 0.4490
0.7377 0.2101 0.1139
0.7899 0.2623 0.8861
0.8248 0.8248 0.3233
```

## Properties
* uncorrected formation energy: -0.1230 eV/atom
* volume: 39.4 Å³ per atom
* magnetization: 2.00 μB/f.u.

---

Computed values of mass density (unit: kg/m³) for the preceding records, in sequence: 6270 3640.
Computed values of N(E_F) (unit: states/eV/atom) for the preceding records, in sequence: 0.919 0.648.